1.
Material: Y6Er2Tm
Method: DFT, PBE-GGA
State: optimized geometry Values from VASP.

Cell and atoms, written as Quantum ESPRESSO input:
```
&SYSTEM
  ibrav = 0, nat = 18, ntyp = 3
/
ATOMIC_SPECIES
Y 88.91 Y.upf
Er 167.26 Er.upf
Tm 168.93 Tm.upf
CELL_PARAMETERS angstrom
10.6432 0.0000 0.0000
0.0000 10.6432 0.0000
0.0000 0.0000 5.0209
ATOMIC_POSITIONS crystal
Y 0.0002 0.3319 0.0000
Y 0.9998 0.6681 0.0000
Y 0.1658 0.1658 0.5000
Y 0.1681 0.5002 0.5000
Y 0.3319 0.0002 0.0000
Y 0.3342 0.6658 0.0000
Y 0.5002 0.1681 0.5000
Y 0.4998 0.8319 0.5000
Y 0.6658 0.3342 0.0000
Y 0.6681 0.9998 0.0000
Y 0.8319 0.4998 0.5000
Y 0.8342 0.8342 0.5000
Er 0.1661 0.8339 0.5000
Er 0.3339 0.3339 0.0000
Er 0.6661 0.6661 0.0000
Er 0.8339 0.1661 0.5000
Tm 0.0000 0.0000 0.0000
Tm 0.5000 0.5000 0.5000
```

## Properties
E_form: 0.026 eV per atom
SG: P4_2/mnm (136)
energy above the most stable polymorph in this dataset: 0.000 eV/f.u.

=====

2.
Material: TaZnO2
Method: DFT, PBE-GGA
State: optimized geometry Values from VASP.

Cell and atoms, written as Quantum ESPRESSO input:
```
&SYSTEM
  ibrav = 0, nat = 4, ntyp = 3
/
ATOMIC_SPECIES
Ta 180.95 Ta.upf
Zn 65.41 Zn.upf
O 16.00 O.upf
CELL_PARAMETERS angstrom
0.0000 2.7756 2.7756
2.7756 0.0000 2.7756
2.7756 2.7756 0.0000
ATOMIC_POSITIONS crystal
Ta 0.0000 0.0000 0.0000
Zn 0.5000 0.5000 0.5000
O 0.2500 0.2500 0.2500
O 0.7500 0.7500 0.7500
```

## Properties
uncorrected formation energy: -0.67 eV per atom
SG: Fm-3m (225)
energy above the most stable polymorph in this dataset: 3.778 eV/f.u.

=====

3.
Material: Pu2NiHg
Method: DFT, PBE-GGA
State: optimized geometry Values from VASP.

Cell and atoms, written as Quantum ESPRESSO input:
```
&SYSTEM
  ibrav = 0, nat = 4, ntyp = 3
/
ATOMIC_SPECIES
Pu 244.00 Pu.upf
Ni 58.69 Ni.upf
Hg 200.59 Hg.upf
CELL_PARAMETERS angstrom
1.8462 1.0659 8.4717
-1.8462 1.0659 8.4717
0.0000 -2.1319 8.4717
ATOMIC_POSITIONS crystal
Pu 0.2333 0.2333 0.2333
Pu 0.7667 0.7667 0.7667
Ni 0.5000 0.5000 0.5000
Hg 0.0000 0.0000 0.0000
```

## Properties
E_form: 0.049 eV per atom
SG: R-3m (166)
energy above the most stable polymorph in this dataset: 0.551 eV/f.u.

=====

4.
Material: CaPmCdGa
Method: DFT, PBE-GGA
State: optimized geometry Values from VASP.

Cell and atoms, written as Quantum ESPRESSO input:
```
&SYSTEM
  ibrav = 0, nat = 4, ntyp = 4
/
ATOMIC_SPECIES
Ca 40.08 Ca.upf
Pm 145.00 Pm.upf
Cd 112.41 Cd.upf
Ga 69.72 Ga.upf
CELL_PARAMETERS angstrom
3.6652 0.0000 0.0000
0.0000 3.6652 0.0000
0.0000 0.0000 7.8404
ATOMIC_POSITIONS crystal
Ca 0.0000 0.0000 0.0000
Pm 0.0000 0.0000 0.4697
Cd 0.5000 0.5000 0.7400
Ga 0.5000 0.5000 0.2378
```

## Properties
E_form: -0.434 eV per atom
SG: P4mm (99)
energy above the most stable polymorph in this dataset: 0.025 eV/f.u.

=====

5.
Material: Li2ThCrH8
Method: DFT, PBE-GGA
State: optimized geometry Values from VASP.

Cell and atoms, written as Quantum ESPRESSO input:
```
&SYSTEM
  ibrav = 0, nat = 12, ntyp = 4
/
ATOMIC_SPECIES
Li 6.94 Li.upf
Th 232.04 Th.upf
Cr 52.00 Cr.upf
H 1.01 H.upf
CELL_PARAMETERS angstrom
3.5982 0.0000 0.0000
0.7678 5.2228 0.0000
1.6646 0.7792 5.7347
ATOMIC_POSITIONS crystal
Li 0.1607 0.0621 0.2107
Li 0.8393 0.9379 0.7893
Th 0.5000 0.5000 0.5000
Cr 0.5000 0.5000 0.0000
H 0.0446 0.2033 0.5378
H 0.1110 0.4877 0.2422
H 0.3577 0.7595 0.8036
H 0.4182 0.2432 0.8732
H 0.5818 0.7568 0.1268
H 0.6423 0.2405 0.1964
H 0.8890 0.5123 0.7578
H 0.9554 0.7967 0.4622
```

## Properties
uncorrected energy: -4.21 eV per atom
SG: P-1 (2)

=====

6.
Material: CaB3I
Method: DFT, PBE-GGA
State: optimized geometry Values from VASP.

Cell and atoms, written as Quantum ESPRESSO input:
```
&SYSTEM
  ibrav = 0, nat = 5, ntyp = 3
/
ATOMIC_SPECIES
Ca 40.08 Ca.upf
B 10.81 B.upf
I 126.90 I.upf
CELL_PARAMETERS angstrom
4.5444 0.0000 0.0000
0.0000 4.5444 0.0000
0.0000 0.0000 4.5444
ATOMIC_POSITIONS crystal
Ca 0.0000 0.0000 0.0000
B 0.0000 0.5000 0.5000
B 0.5000 0.0000 0.5000
B 0.5000 0.5000 0.0000
I 0.5000 0.5000 0.5000
```

## Properties
uncorrected formation energy: 2.02 eV per atom
SG: Pm-3m (221)
energy above the most stable polymorph in this dataset: 0.000 eV/f.u.

=====

7.
Material: Dy2Ge3Pt
Method: DFT, PBE-GGA
State: optimized geometry Values from VASP.

Cell and atoms, written as Quantum ESPRESSO input:
```
&SYSTEM
  ibrav = 0, nat = 6, ntyp = 3
/
ATOMIC_SPECIES
Dy 162.50 Dy.upf
Ge 72.64 Ge.upf
Pt 195.08 Pt.upf
CELL_PARAMETERS angstrom
5.3096 -2.1607 0.0000
5.3096 2.1607 0.0000
-4.4550 0.0000 5.2798
ATOMIC_POSITIONS crystal
Dy 0.0000 0.0000 0.0000
Dy 0.1223 0.1223 0.6161
Ge 0.4014 0.4014 0.2082
Ge 0.6930 0.6930 0.9655
Ge 0.7323 0.7323 0.4106
Pt 0.3886 0.3886 0.5746
```

## Properties
E_form: -0.826 eV per atom
SG: Cm (8)

=====

8.
Material: SrZr2Cr
Method: DFT, PBE-GGA
State: optimized geometry Values from VASP.

Cell and atoms, written as Quantum ESPRESSO input:
```
&SYSTEM
  ibrav = 0, nat = 4, ntyp = 3
/
ATOMIC_SPECIES
Sr 87.62 Sr.upf
Zr 91.22 Zr.upf
Cr 52.00 Cr.upf
CELL_PARAMETERS angstrom
3.2830 0.0000 0.0000
0.0000 3.2819 0.0000
-0.0125 0.0000 9.3300
ATOMIC_POSITIONS crystal
Sr 0.0000 0.0000 0.0000
Zr 0.4990 0.5000 0.3383
Zr 0.5010 0.5000 0.6617
Cr 0.0000 0.0000 0.5000
```

## Properties
E_form: 0.337 eV per atom
SG: P2/m (10)
energy above the most stable polymorph in this dataset: 0.000 eV/f.u.

=====

9.
Material: DyInCuNi
Method: DFT, PBE-GGA
State: optimized geometry Values from VASP.

Cell and atoms, written as Quantum ESPRESSO input:
```
&SYSTEM
  ibrav = 0, nat = 4, ntyp = 4
/
ATOMIC_SPECIES
Dy 162.50 Dy.upf
In 114.82 In.upf
Cu 63.55 Cu.upf
Ni 58.69 Ni.upf
CELL_PARAMETERS angstrom
0.0000 3.2915 3.2915
3.2915 0.0000 3.2915
3.2915 3.2915 0.0000
ATOMIC_POSITIONS crystal
Dy 0.0000 0.0000 0.0000
In 0.5000 0.5000 0.5000
Cu 0.7500 0.7500 0.7500
Ni 0.2500 0.2500 0.2500
```

## Properties
E_form: -0.325 eV per atom
SG: F-43m (216)

=====

10.
Material: K2Te3O10
Method: DFT, PBE-GGA
State: optimized geometry Values from VASP.

Cell and atoms, written as Quantum ESPRESSO input:
```
&SYSTEM
  ibrav = 0, nat = 30, ntyp = 3
/
ATOMIC_SPECIES
K 39.10 K.upf
Te 127.60 Te.upf
O 16.00 O.upf
CELL_PARAMETERS angstrom
9.2605 -3.0450 0.0000
9.2605 3.0450 0.0000
-3.2216 0.0000 7.9557
ATOMIC_POSITIONS crystal
K 0.1186 0.1186 0.2179
K 0.2075 0.2075 0.8278
K 0.7925 0.7925 0.1722
K 0.8814 0.8814 0.7821
Te 0.2505 0.7495 0.5000
Te 0.3185 0.3185 0.4911
Te 0.4115 0.4115 0.9871
Te 0.5885 0.5885 0.0129
Te 0.6815 0.6815 0.5089
Te 0.7495 0.2505 0.5000
O 0.0000 0.5000 0.5000
O 0.0301 0.0301 0.6625
O 0.1208 0.5951 0.0175
O 0.1484 0.6469 0.5108
O 0.2803 0.2803 0.2621
O 0.2974 0.7026 0.0000
O 0.3531 0.8516 0.4892
O 0.3570 0.3570 0.7368
O 0.4049 0.8792 0.9825
O 0.4695 0.4695 0.3338
O 0.5000 0.0000 0.5000
O 0.5305 0.5305 0.6662
O 0.5951 0.1208 0.0175
O 0.6430 0.6430 0.2632
O 0.6469 0.1484 0.5108
O 0.7026 0.2974 0.0000
O 0.7197 0.7197 0.7379
O 0.8516 0.3531 0.4892
O 0.8792 0.4049 0.9825
O 0.9699 0.9699 0.3375
```

## Properties
uncorrected formation energy: -1.03 eV per atom
SG: C2/m (12)

=====

11.
Material: ZnAs2Ru
Method: DFT, PBE-GGA
State: optimized geometry Values from VASP.

Cell and atoms, written as Quantum ESPRESSO input:
```
&SYSTEM
  ibrav = 0, nat = 4, ntyp = 3
/
ATOMIC_SPECIES
Zn 65.41 Zn.upf
As 74.92 As.upf
Ru 101.07 Ru.upf
CELL_PARAMETERS angstrom
1.5018 -2.4481 0.0000
1.5018 2.4481 0.0000
0.0000 0.0000 9.6633
ATOMIC_POSITIONS crystal
Zn 0.0000 0.0000 0.0000
As 0.0000 0.0000 0.5788
As 0.5000 0.5000 0.2337
Ru 0.5000 0.5000 0.7793
```

## Properties
E_form: 0.204 eV per atom
SG: Cmm2 (35)

=====

12.
Material: CsRb2NaCu
Method: DFT, PBE-GGA
State: optimized geometry Values from VASP.

Cell and atoms, written as Quantum ESPRESSO input:
```
&SYSTEM
  ibrav = 0, nat = 5, ntyp = 4
/
ATOMIC_SPECIES
Cs 132.91 Cs.upf
Rb 85.47 Rb.upf
Na 22.99 Na.upf
Cu 63.55 Cu.upf
CELL_PARAMETERS angstrom
7.0133 0.0000 0.0000
0.0000 7.0133 0.0000
0.0000 0.0000 6.0910
ATOMIC_POSITIONS crystal
Cs 0.0000 0.0000 0.0000
Rb 0.0000 0.5000 0.5000
Rb 0.5000 0.0000 0.5000
Na 0.5000 0.5000 0.0000
Cu 0.5000 0.5000 0.5000
```

## Properties
E_form: 0.228 eV per atom
SG: P4/mmm (123)

=====

| no. | size of the total moment (μB/f.u.) |
| --- | --- |
| 1 | 0.000 |
| 2 | 1.003 |
| 3 | 11.376 |
| 4 | 0.000 |
| 5 | 2.143 |
| 6 | 0.000 |
| 7 | 0.000 |
| 8 | 0.207 |
| 9 | 0.000 |
| 10 | 0.000 |
| 11 | 0.001 |
| 12 | 0.000 |